--- A ---
Computed, not measured: a relaxed CuSb2Mo crystal at the PBE level of DFT.

Properties
size of the total moment	0.000	μB per atom
crystal system	tetragonal

```
CuSb2Mo
1.0
-1.154 0.247 3.517
-1.584 -3.340 -0.285
4.745 -2.397 1.725
Cu Sb Mo
1 2 1
direct
0.000 0.000 0.467
0.000 0.000 0.951
0.500 0.500 0.303
0.500 0.500 0.779
```

---

--- B ---
Computed, not measured: a relaxed CuSb2Mo crystal at the PBE level of DFT.

Properties
size of the total moment	0.279	μB per atom
crystal system	tetragonal

```
CuSb2Mo
1.0
-2.349 -2.947 -4.124
-0.594 -5.522 0.603
-1.077 4.636 2.925
Cu Sb Mo
1 2 1
direct
0.500 0.500 0.000
0.250 0.750 0.500
0.000 0.000 0.000
0.750 0.250 0.500
```

---

Most stable of them? A.

---

--- A ---
Computed, not measured: a relaxed CuSb2Mo crystal at the PBE level of DFT.

Properties
size of the total moment	0.304	μB per atom
crystal system	cubic

```
CuSb2Mo
1.0
0.000 3.376 3.376
3.376 0.000 3.376
3.376 3.376 0.000
Mo Cu Sb
1 1 2
direct
0.500 0.500 0.500
0.000 0.000 0.000
0.250 0.250 0.250
0.750 0.750 0.750
```

---

--- B ---
Computed, not measured: a relaxed CuSb2Mo crystal at the PBE level of DFT.

Properties
size of the total moment	0.000	μB per atom
crystal system	orthorhombic

```
CuSb2Mo
1.0
-3.140 -1.258 3.779
-3.577 -2.835 -2.212
5.044 -0.236 0.477
Sb Mo Cu
2 1 1
direct
0.524 0.524 0.000
0.976 0.976 0.000
0.250 0.750 0.500
0.750 0.250 0.500
```

---

Most stable of them? B.

---

--- A ---
Computed, not measured: a relaxed CuSb2Mo crystal at the PBE level of DFT.

Properties
size of the total moment	0.000	μB per atom
crystal system	monoclinic

```
CuSb2Mo
1.0
-0.075 -0.113 3.459
-2.146 -2.726 -0.136
3.168 -6.180 -0.134
Cu Sb Mo
1 2 1
direct
0.500 0.250 0.250
0.000 0.457 0.507
0.000 0.043 0.993
0.500 0.750 0.750
```

---

--- B ---
Computed, not measured: a relaxed CuSb2Mo crystal at the PBE level of DFT.

Properties
size of the total moment	0.001	μB per atom
crystal system	orthorhombic

```
CuSb2Mo
1.0
4.678 0.063 0.000
-0.057 4.678 0.000
0.000 0.000 3.410
Cu Mo Sb
1 1 2
direct
0.500 0.000 0.500
0.000 0.500 0.500
0.000 0.000 0.000
0.500 0.500 0.000
```

---

--- C ---
Computed, not measured: a relaxed CuSb2Mo crystal at the PBE level of DFT.

Properties
size of the total moment	0.099	μB per atom
crystal system	orthorhombic

```
CuSb2Mo
1.0
3.154 -0.011 0.000
-0.932 3.013 0.000
0.000 0.000 8.324
Mo Cu Sb
1 1 2
direct
0.500 0.500 0.750
0.500 0.500 0.250
0.000 0.000 0.001
0.000 0.000 0.499
```

---

Most stable of them? A.

---

--- A ---
Computed, not measured: a relaxed CuSbMo crystal at the PBE level of DFT.

Properties
size of the total moment	0.000	μB per atom
crystal system	tetragonal

```
CuSbMo
1.0
-0.083 2.054 6.893
3.197 -0.436 6.429
-0.381 0.829 -7.135
Sb Mo Cu
1 1 1
direct
0.690 0.690 0.000
0.346 0.346 0.000
0.964 0.964 0.000
```

---

--- B ---
Computed, not measured: a relaxed CuSbMo crystal at the PBE level of DFT.

Properties
size of the total moment	0.000	μB per atom
crystal system	tetragonal

```
CuSbMo
1.0
4.070 0.000 0.000
0.000 4.070 0.000
0.000 0.000 6.750
Mo Sb Cu
2 2 2
direct
0.000 0.500 0.281
0.500 0.000 0.719
0.000 0.000 0.000
0.500 0.500 0.000
0.500 0.000 0.344
0.000 0.500 0.656
```

---

Most stable of them? A.

---

--- A ---
Computed, not measured: a relaxed CuSbMo crystal at the PBE level of DFT.

Properties
size of the total moment	0.000	μB per atom
crystal system	trigonal

```
CuSbMo
1.0
-3.507 -2.096 -1.758
3.805 -2.205 0.662
-0.888 -0.737 2.651
Sb Mo Cu
1 1 1
direct
0.333 0.667 0.836
0.667 0.333 0.332
0.000 0.000 0.832
```

---

--- B ---
Computed, not measured: a relaxed CuSbMo crystal at the PBE level of DFT.

Properties
size of the total moment	0.000	μB per atom
crystal system	orthorhombic

```
CuSbMo
1.0
-1.441 -0.328 7.017
-3.775 -1.611 5.763
1.427 -2.415 0.894
Cu Mo Sb
1 1 1
direct
0.968 0.968 0.032
0.344 0.344 0.656
0.688 0.688 0.312
```

---

--- C ---
Computed, not measured: a relaxed CuSbMo crystal at the PBE level of DFT.

Properties
size of the total moment	0.000	μB per atom
crystal system	tetragonal

```
CuSbMo
1.0
-2.960 -2.475 3.200
0.720 -4.801 1.248
2.511 4.319 -0.410
Sb Cu Mo
1 1 1
direct
0.665 0.665 0.000
0.998 0.998 0.000
0.337 0.337 0.000
```

---

Most stable of them? C.

---

--- A ---
Computed, not measured: a relaxed Cu2Sb2Mo crystal at the PBE level of DFT.

Properties
size of the total moment	0.000	μB per atom
crystal system	tetragonal

```
Cu2Sb2Mo
1.0
3.419 0.000 0.000
0.000 3.419 0.000
1.709 1.709 7.637
Sb Cu Mo
2 2 1
direct
0.604 0.604 0.792
0.396 0.396 0.208
0.250 0.750 0.500
0.750 0.250 0.500
0.000 0.000 0.000
```

---

--- B ---
Computed, not measured: a relaxed Cu2Sb2Mo crystal at the PBE level of DFT.

Properties
size of the total moment	0.000	μB per atom
crystal system	tetragonal

```
Cu2Sb2Mo
1.0
7.137 0.000 0.000
0.000 7.137 0.000
0.000 0.000 3.627
Cu Sb Mo
4 4 2
direct
0.866 0.366 0.500
0.634 0.866 0.500
0.134 0.634 0.500
0.366 0.134 0.500
0.662 0.162 0.000
0.338 0.838 0.000
0.838 0.662 0.000
0.162 0.338 0.000
0.000 0.000 0.000
0.500 0.500 0.000
```

---

Most stable of them? A.

---

--- A ---
Computed, not measured: a relaxed CuSb3Mo crystal at the PBE level of DFT.

Properties
size of the total moment	0.679	μB per atom
crystal system	cubic

```
CuSb3Mo
1.0
5.034 0.000 0.000
0.000 5.034 0.000
0.000 0.000 5.034
Sb Cu Mo
3 1 1
direct
0.500 0.000 0.000
0.000 0.000 0.500
0.000 0.500 0.000
0.000 0.000 0.000
0.500 0.500 0.500
```

---

--- B ---
Computed, not measured: a relaxed CuSb3Mo crystal at the PBE level of DFT.

Properties
size of the total moment	0.000	μB per atom
crystal system	cubic

```
CuSb3Mo
1.0
-0.074 -1.376 -5.023
-0.596 -4.988 1.376
-5.174 0.595 -0.087
Sb Cu Mo
3 1 1
direct
0.500 0.000 0.000
0.000 0.000 0.500
0.000 0.500 0.000
0.500 0.500 0.500
0.000 0.000 0.000
```

---

Most stable of them? B.

---

--- A ---
Computed, not measured: a relaxed CuSb2TeMo crystal at the PBE level of DFT.

Properties
size of the total moment	0.000	μB per atom
crystal system	tetragonal

```
CuSb2TeMo
1.0
-3.113 2.364 -3.518
-3.837 -3.426 1.093
-1.778 3.174 3.707
Cu Mo Te Sb
1 1 1 2
direct
0.500 0.500 0.500
0.000 0.000 0.000
0.000 0.000 0.500
0.000 0.500 0.000
0.500 0.000 0.000
```

---

--- B ---
Computed, not measured: a relaxed CuSb2TeMo crystal at the PBE level of DFT.

Properties
size of the total moment	0.678	μB per atom
crystal system	tetragonal

```
CuSb2TeMo
1.0
4.989 0.000 0.000
0.000 4.989 0.000
0.000 0.000 5.212
Sb Mo Cu Te
2 1 1 1
direct
0.500 0.000 0.000
0.000 0.500 0.000
0.500 0.500 0.500
0.000 0.000 0.000
0.000 0.000 0.500
```

---

Most stable of them? A.

---

--- A ---
Computed, not measured: a relaxed Sc2CuMo crystal at the PBE level of DFT.

Properties
size of the total moment	0.000	μB per atom
crystal system	trigonal

```
Sc2CuMo
1.0
9.183 0.023 0.014
8.662 3.050 0.014
8.662 1.492 2.661
Cu Mo Sc
1 1 2
direct
0.250 0.250 0.250
0.750 0.750 0.750
0.998 0.998 0.998
0.502 0.502 0.502
```

---

--- B ---
Computed, not measured: a relaxed Sc2CuMo crystal at the PBE level of DFT.

Properties
size of the total moment	0.000	μB per atom
crystal system	tetragonal

```
Sc2CuMo
1.0
3.521 0.000 0.000
0.000 3.521 0.000
0.000 0.000 5.883
Cu Sc Mo
1 2 1
direct
0.000 0.000 0.503
0.500 0.500 0.286
0.000 0.000 0.955
0.500 0.500 0.757
```

---

--- C ---
Computed, not measured: a relaxed Sc2CuMo crystal at the PBE level of DFT.

Properties
size of the total moment	0.000	μB per atom
crystal system	tetragonal

```
Sc2CuMo
1.0
4.825 0.000 0.000
0.000 4.825 0.000
0.000 0.000 3.086
Sc Cu Mo
2 1 1
direct
0.000 0.000 0.000
0.500 0.500 0.000
0.500 0.000 0.500
0.000 0.500 0.500
```

---

--- D ---
Computed, not measured: a relaxed Sc2CuMo crystal at the PBE level of DFT.

Properties
size of the total moment	0.000	μB per atom
crystal system	orthorhombic

```
Sc2CuMo
1.0
-4.436 1.962 -3.076
-2.319 -3.141 -4.212
1.311 0.567 5.563
Mo Sc Cu
1 2 1
direct
0.273 0.773 0.500
0.014 0.014 0.000
0.726 0.226 0.500
0.487 0.487 0.000
```

---

Most stable of them? C.

---

--- A ---
Computed, not measured: a relaxed Sc2CuMo crystal at the PBE level of DFT.

Properties
size of the total moment	0.000	μB per atom
crystal system	tetragonal

```
Sc2CuMo
1.0
5.275 -0.011 0.000
2.261 4.766 0.000
-3.768 -2.377 2.824
Sc Cu Mo
2 1 1
direct
0.000 0.000 0.000
0.250 0.750 0.500
0.500 0.500 0.000
0.750 0.250 0.500
```

---

--- B ---
Computed, not measured: a relaxed Sc2CuMo crystal at the PBE level of DFT.

Properties
size of the total moment	0.000	μB per atom
crystal system	tetragonal

```
Sc2CuMo
1.0
-0.046 -2.907 0.127
2.310 0.041 1.770
-5.237 0.381 6.827
Sc Mo Cu
2 1 1
direct
0.000 0.000 0.972
0.500 0.500 0.294
0.500 0.500 0.720
0.000 0.000 0.514
```

---

--- C ---
Computed, not measured: a relaxed Sc2CuMo crystal at the PBE level of DFT.

Properties
size of the total moment	0.000	μB per atom
crystal system	tetragonal

```
Sc2CuMo
1.0
-2.902 2.585 1.050
-1.650 -0.367 -3.654
-7.429 -5.907 1.729
Cu Mo Sc
2 2 4
direct
0.500 0.500 0.000
0.250 0.750 0.500
0.000 0.000 0.000
0.750 0.250 0.500
0.123 0.625 0.250
0.875 0.877 0.750
0.375 0.373 0.750
0.627 0.125 0.250
```

---

--- D ---
Computed, not measured: a relaxed Sc2CuMo crystal at the PBE level of DFT.

Properties
size of the total moment	0.000	μB per atom
crystal system	monoclinic

```
Sc2CuMo
1.0
-3.892 3.074 -2.091
-4.211 0.320 -3.337
-4.140 -0.681 2.568
Sc Cu Mo
2 1 1
direct
0.775 0.775 0.682
0.984 0.984 0.052
0.517 0.517 0.550
0.223 0.223 0.216
```

---

Most stable of them? D.

---

--- A ---
Computed, not measured: a relaxed ScCu2Mo crystal at the PBE level of DFT.

Properties
size of the total moment	0.142	μB per atom
crystal system	tetragonal

```
ScCu2Mo
1.0
-3.993 -2.600 1.380
1.014 -3.768 3.062
1.157 4.823 -0.095
Mo Cu Sc
1 2 1
direct
0.500 0.500 0.000
0.000 0.000 0.000
0.250 0.750 0.500
0.750 0.250 0.500
```

---

--- B ---
Computed, not measured: a relaxed ScCu2Mo crystal at the PBE level of DFT.

Properties
size of the total moment	0.000	μB per atom
crystal system	cubic

```
ScCu2Mo
1.0
0.000 3.131 3.131
3.131 0.000 3.131
3.131 3.131 0.000
Cu Sc Mo
2 1 1
direct
0.250 0.250 0.250
0.750 0.750 0.750
0.000 0.000 0.000
0.500 0.500 0.500
```

---

--- C ---
Computed, not measured: a relaxed ScCu2Mo crystal at the PBE level of DFT.

Properties
size of the total moment	0.732	μB per atom
crystal system	cubic

```
ScCu2Mo
1.0
4.450 0.000 0.000
2.225 3.854 0.000
2.225 1.285 3.633
Mo Cu Sc
1 2 1
direct
0.500 0.500 0.500
0.000 0.000 0.000
0.250 0.250 0.250
0.750 0.750 0.750
```

---

--- D ---
Computed, not measured: a relaxed ScCu2Mo crystal at the PBE level of DFT.

Properties
size of the total moment	0.000	μB per atom
crystal system	trigonal

```
ScCu2Mo
1.0
9.299 0.001 0.001
8.879 2.763 0.001
8.879 1.350 2.411
Mo Cu Sc
1 2 1
direct
0.250 0.250 0.250
0.502 0.502 0.502
0.998 0.998 0.998
0.750 0.750 0.750
```

---

Most stable of them? B.